No. 1
The following is a GGA-PBE calculation of a relaxed structure of Ba6CdAu, from Alexandria via LeMat-Bulk.

The structure in extended XYZ format:
```
8
Lattice="-3.060 -3.149 -6.875 -0.453 -8.092 -0.929 -8.339 -3.712 0.576" Properties=species:S:1:pos:R:3 pbc="T T T"
Ba -6.690 -6.366 -0.417
Ba -7.909 -10.281 -3.118
Ba -3.944 -4.673 -4.110
Ba -3.191 -9.200 -2.354
Ba -8.662 -5.754 -4.874
Ba -5.163 -8.588 -6.811
Au 0.000 0.000 0.000
Cd -5.926 -7.477 -3.614
```

Calculated values
The space group is R-3. The electronic total energy is -2.1934 eV/atom. The crystal system is trigonal. As for the energy above the most stable polymorph in this dataset: 0.0159 eV/atom. The energy of formation from the pure elements comes out at -0.23 eV/atom.


No. 2
The following is a GGA-PBE calculation of a relaxed structure of Ba3Cd3Au8, from Alexandria via LeMat-Bulk.

The structure in extended XYZ format:
```
14
Lattice="4.893 0.000 0.000 2.447 8.862 0.453 2.447 2.849 8.404" Properties=species:S:1:pos:R:3 pbc="T T T"
Ba 4.893 5.855 4.428
Ba 4.893 2.451 1.854
Ba 4.893 9.260 7.003
Au 2.447 3.129 4.137
Au 4.893 5.690 7.896
Au 7.340 6.878 6.972
Au 4.893 9.147 3.326
Au 7.340 8.581 4.720
Au 2.447 4.833 1.885
Au 4.893 2.564 5.531
Au 4.893 6.020 0.961
Cd 2.447 0.000 0.000
Cd 2.447 4.030 6.842
Cd 2.447 7.681 2.014
```

Calculated values
The space group is Immm. The electronic total energy is -3.0041 eV/atom. The crystal system is orthorhombic. The energy of formation from the pure elements comes out at -0.52 eV/atom.


No. 3
The following is a GGA-PBE calculation of a relaxed structure of Ba2Cd2Au, from Alexandria via LeMat-Bulk.

The structure in extended XYZ format:
```
5
Lattice="-5.880 -2.738 1.803 2.434 -6.126 -1.367 -0.378 -4.764 4.102" Properties=species:S:1:pos:R:3 pbc="T T T"
Au 0.000 0.000 0.000
Cd -2.539 -9.088 3.055
Cd -1.285 -4.540 1.483
Ba 0.167 -7.661 1.476
Ba -3.990 -5.967 3.061
```

Calculated values
The space group is I4/mmm. The electronic total energy is -1.9827 eV/atom. The crystal system is tetragonal. As for the energy above the most stable polymorph in this dataset: 0.2599 eV/atom. The energy of formation from the pure elements comes out at -0.19 eV/atom.


No. 4
The following is a GGA-PBE calculation of a relaxed structure of BaCd3Au, from Alexandria via LeMat-Bulk.

The structure in extended XYZ format:
```
10
Lattice="7.162 0.732 0.000 3.301 6.399 0.000 0.000 0.000 6.451" Properties=species:S:1:pos:R:3 pbc="T T T"
Cd 4.934 4.203 0.338
Cd 2.269 2.386 3.563
Cd 2.541 4.851 1.951
Cd 4.662 1.739 5.176
Cd 4.662 1.739 1.950
Cd 2.541 4.851 5.176
Ba 1.035 1.546 0.338
Ba 6.167 5.044 3.563
Au 7.102 1.531 3.563
Au 7.263 5.791 0.338
```

Calculated values
The space group is Cmcm. The electronic total energy is -1.9752 eV/atom. The crystal system is orthorhombic. As for the energy above the most stable polymorph in this dataset: 0.0000 eV/atom. The energy of formation from the pure elements comes out at -0.39 eV/atom.